1.
Below is an optimized crystal structure of CrRe2Pb, with properties calculated at the PBE-GGA level.

Summary:
SG: I-4m2
E_form in eV/f.u.: 3.36
Total energy in eV per atom: -8.716
V in Å³ per cell: 66
Magnetic moment in μB/f.u.: 2.7
Fermi-level density of states in states/eV per atom: 1.282

Lattice parameters (Å, degrees): 4.881 4.881 4.881 130.45 130.45 72.69
Fractional coordinates of all 4 atoms:
Re  0.000  0.000  0.000
Pb  0.750  0.250  0.500
Cr  0.500  0.500  0.000
Re  0.250  0.750  0.500



2.
Below is an optimized crystal structure of CrRe2Pb, with properties calculated at the PBE-GGA level.

Summary:
SG: C2/m
E_form in eV/f.u.: 2.64
Total energy in eV per atom: -8.896
V in Å³ per cell: 66
Magnetic moment in μB/f.u.: 1.2
Fermi-level density of states in states/eV per atom: 0.844

Lattice parameters (Å, degrees): 4.935 4.935 4.888 77.30 77.30 34.93
Fractional coordinates of all 4 atoms:
Cr  0.750  0.750  0.750
Pb  0.250  0.250  0.250
Re  0.023  0.023  0.956
Re  0.477  0.477  0.544



3.
Below is an optimized crystal structure of CrRePb, with properties calculated at the PBE-GGA level.

Summary:
Offset from the most stable computed form in eV per atom: 0.037
SG: P3m1
E_form in eV/f.u.: 2.08
Total energy in eV per atom: -7.900
V in Å³ per cell: 56
Magnetic moment in μB/f.u.: 0.0
Fermi-level density of states in states/eV per atom: 0.857

Lattice parameters (Å, degrees): 3.120 3.120 6.700 90.00 90.00 120.00
Fractional coordinates of all 3 atoms:
Cr  0.000  0.000  0.950
Pb  0.333  0.667  0.326
Re  0.667  0.333  0.724



4.
Below is an optimized crystal structure of CrRe2Pb, with properties calculated at the PBE-GGA level.

Summary:
SG: Pmmm
E_form in eV/f.u.: 2.92
Total energy in eV per atom: -8.827
V in Å³ per cell: 70
Magnetic moment in μB/f.u.: 0.8
Fermi-level density of states in states/eV per atom: 0.849

Lattice parameters (Å, degrees): 2.883 3.791 6.380 90.00 90.00 90.00
Fractional coordinates of all 4 atoms:
Pb  0.500  0.500  0.750
Cr  0.500  0.500  0.250
Re  0.000  0.000  0.436
Re  0.000  0.000  0.064



5.
Below is an optimized crystal structure of CrRe2Pb, with properties calculated at the PBE-GGA level.

Summary:
SG: Pmmm
E_form in eV/f.u.: 3.60
Total energy in eV per atom: -8.656
V in Å³ per cell: 66
Magnetic moment in μB/f.u.: 2.0
Fermi-level density of states in states/eV per atom: 1.156

Lattice parameters (Å, degrees): 3.263 4.377 4.640 90.00 90.00 90.00
Fractional coordinates of all 4 atoms:
Re  0.000  0.000  0.000
Cr  0.500  0.000  0.500
Pb  0.000  0.500  0.500
Re  0.500  0.500  0.000



6.
Below is an optimized crystal structure of CrRe2Pb, with properties calculated at the PBE-GGA level.

Summary:
SG: I4/mmm
E_form in eV/f.u.: 3.32
Total energy in eV per atom: -8.728
V in Å³ per cell: 65
Magnetic moment in μB/f.u.: 1.5
Fermi-level density of states in states/eV per atom: 0.836

Lattice parameters (Å, degrees): 5.081 5.081 5.081 134.69 134.69 66.01
Fractional coordinates of all 4 atoms:
Re  0.500  0.500  0.000
Re  0.000  0.000  0.000
Pb  0.750  0.250  0.500
Cr  0.250  0.750  0.500



7.
Below is an optimized crystal structure of CrRePb, with properties calculated at the PBE-GGA level.

Summary:
Offset from the most stable computed form in eV per atom: 0.180
SG: F-43m
E_form in eV/f.u.: 2.51
Total energy in eV per atom: -7.757
V in Å³ per cell: 57
Magnetic moment in μB/f.u.: 1.0
Fermi-level density of states in states/eV per atom: 0.540

Lattice parameters (Å, degrees): 4.309 4.309 4.309 60.00 60.00 60.00
Fractional coordinates of all 3 atoms:
Cr  0.750  0.750  0.750
Re  0.500  0.500  0.500
Pb  0.000  0.000  0.000



8.
Below is an optimized crystal structure of CrRe2Pb, with properties calculated at the PBE-GGA level.

Summary:
SG: P4/mmm
E_form in eV/f.u.: 3.68
Total energy in eV per atom: -8.638
V in Å³ per cell: 66
Magnetic moment in μB/f.u.: 1.9
Fermi-level density of states in states/eV per atom: 1.212

Lattice parameters (Å, degrees): 4.170 3.986 3.986 90.00 90.00 90.00
Fractional coordinates of all 4 atoms:
Re  0.000  0.500  0.500
Pb  0.500  0.000  0.500
Re  0.000  0.000  0.000
Cr  0.500  0.500  0.000



9.
Below is an optimized crystal structure of CrRe2Pb, with properties calculated at the PBE-GGA level.

Summary:
SG: Pm
E_form in eV/f.u.: 2.66
Total energy in eV per atom: -8.893
V in Å³ per cell: 68
Magnetic moment in μB/f.u.: 0.0
Fermi-level density of states in states/eV per atom: 0.930

Lattice parameters (Å, degrees): 3.975 2.922 6.535 63.46 90.00 90.00
Fractional coordinates of all 4 atoms:
Re  0.500  0.251  0.250
Re  0.000  0.944  0.059
Cr  0.000  0.547  0.450
Pb  0.500  0.759  0.740



10.
Below is an optimized crystal structure of CrRe2Pb, with properties calculated at the PBE-GGA level.

Summary:
SG: Imm2
E_form in eV/f.u.: 3.39
Total energy in eV per atom: -8.709
V in Å³ per cell: 66
Magnetic moment in μB/f.u.: 1.9
Fermi-level density of states in states/eV per atom: 1.072

Lattice parameters (Å, degrees): 5.229 5.229 5.229 143.22 129.01 64.51
Fractional coordinates of all 4 atoms:
Cr  0.508  0.508  0.000
Re  0.747  0.247  0.500
Re  0.991  0.991  0.000
Pb  0.254  0.754  0.500



11.
Below is an optimized crystal structure of CrRe2Pb, with properties calculated at the PBE-GGA level.

Summary:
SG: I-42d
E_form in eV/f.u.: 4.28
Total energy in eV per atom: -8.488
V in Å³ per cell: 154
Magnetic moment in μB/f.u.: 3.3
Fermi-level density of states in states/eV per atom: 1.063

Lattice parameters (Å, degrees): 4.005 4.005 10.010 78.46 78.46 90.00
Fractional coordinates of all 8 atoms:
Re  0.875  0.799  0.750
Re  0.375  0.451  0.750
Cr  0.250  0.750  0.500
Cr  0.500  0.500  0.000
Pb  0.750  0.250  0.500
Re  0.549  0.125  0.250
Re  0.201  0.625  0.250
Pb  0.000  0.000  0.000



12.
Below is an optimized crystal structure of CrRe2Pb, with properties calculated at the PBE-GGA level.

Summary:
SG: P4mm
E_form in eV/f.u.: 2.19
Total energy in eV per atom: -9.009
V in Å³ per cell: 72
Magnetic moment in μB/f.u.: 3.0
Fermi-level density of states in states/eV per atom: 0.748

Lattice parameters (Å, degrees): 3.021 3.021 7.873 90.00 90.00 90.00
Fractional coordinates of all 4 atoms:
Pb  0.500  0.500  0.758
Cr  0.000  0.000  0.455
Re  0.000  0.000  0.048
Re  0.500  0.500  0.239